#one
A relaxed TiBeAs2Se crystal. Source: Alexandria via LeMat-Bulk, functional PBE.

Cell: 4.2738 4.2738 5.0727 Å, 90.00 90.00 90.00°
Sites, in units of the cell vectors:
Ti 0.0000 0.0000 0.0000
Be 0.5000 0.5000 0.5000
As 0.0000 0.5000 0.5000
As 0.5000 0.0000 0.5000
Se 0.5000 0.5000 0.0000

Summary:
Theoretical density = 5.1 g/cm³
SG = P4/mmm, No. 123
Crystal system = tetragonal



#two
A relaxed TiBeAs2Se crystal. Source: Alexandria via LeMat-Bulk, functional PBE.

Cell: 4.9026 4.9026 4.8451 Å, 90.00 90.00 90.00°
Sites, in units of the cell vectors:
Ti 0.0000 0.0000 0.0000
Be 0.5000 0.5000 0.5000
As 0.0000 0.5000 0.0000
As 0.5000 0.0000 0.0000
Se 0.0000 0.0000 0.5000

Summary:
Theoretical density = 4.1 g/cm³
SG = P4/mmm, No. 123
Crystal system = tetragonal



Which structure is most stable? #one, by 140 meV per atom over the runner-up.



#one
A relaxed BeTlAsSe2 crystal. Source: Alexandria via LeMat-Bulk, functional PBE.

Cell: 5.0314 5.0314 4.3574 Å, 90.00 90.00 90.00°
Sites, in units of the cell vectors:
Be 0.0000 0.0000 0.0000
Tl 0.5000 0.5000 0.5000
As 0.0000 0.0000 0.5000
Se 0.0000 0.5000 0.0000
Se 0.5000 0.0000 0.0000

Summary:
Theoretical density = 6.7 g/cm³
SG = P4/mmm, No. 123
Crystal system = tetragonal



#two
A relaxed BeTlAsSe2 crystal. Source: Alexandria via LeMat-Bulk, functional PBE.

Cell: 5.4170 5.4170 5.3584 Å, 90.00 90.00 90.00°
Sites, in units of the cell vectors:
Be 0.0000 0.0000 0.0000
Tl 0.5000 0.5000 0.5000
As 0.5000 0.5000 0.0000
Se 0.0000 0.5000 0.5000
Se 0.5000 0.0000 0.5000

Summary:
Theoretical density = 4.7 g/cm³
SG = P4/mmm, No. 123
Crystal system = tetragonal



Which structure is most stable? #one, by 1136 meV per atom over the runner-up.



#one
A relaxed BeVAs2Se crystal. Source: Alexandria via LeMat-Bulk, functional PBE.

Cell: 4.2741 4.2741 4.8929 Å, 90.00 90.00 90.00°
Sites, in units of the cell vectors:
Be 0.0000 0.0000 0.0000
V 0.5000 0.5000 0.5000
As 0.0000 0.5000 0.0000
As 0.5000 0.0000 0.0000
Se 0.0000 0.0000 0.5000

Summary:
Theoretical density = 5.4 g/cm³
SG = P4/mmm, No. 123
Crystal system = tetragonal



#two
A relaxed BeVAs2Se crystal. Source: Alexandria via LeMat-Bulk, functional PBE.

Cell: 4.7616 4.7616 4.7079 Å, 90.00 90.00 90.00°
Sites, in units of the cell vectors:
Be 0.0000 0.0000 0.0000
V 0.5000 0.5000 0.5000
As 0.0000 0.5000 0.5000
As 0.5000 0.0000 0.5000
Se 0.5000 0.5000 0.0000

Summary:
Theoretical density = 4.5 g/cm³
SG = P4/mmm, No. 123
Crystal system = tetragonal



Which structure is most stable? #two, by 121 meV per atom over the runner-up.



#one
A relaxed BeAsWSe2 crystal. Source: Alexandria via LeMat-Bulk, functional PBE.

Cell: 4.5530 4.5530 4.2041 Å, 90.00 90.00 90.00°
Sites, in units of the cell vectors:
Be 0.0000 0.0000 0.0000
As 0.0000 0.0000 0.5000
W 0.5000 0.5000 0.5000
Se 0.0000 0.5000 0.0000
Se 0.5000 0.0000 0.0000

Summary:
Theoretical density = 8.1 g/cm³
SG = P4/mmm, No. 123
Crystal system = tetragonal



#two
A relaxed BeAsWSe2 crystal. Source: Alexandria via LeMat-Bulk, functional PBE.

Cell: 4.8949 4.8949 5.0011 Å, 90.00 90.00 90.00°
Sites, in units of the cell vectors:
Be 0.0000 0.0000 0.0000
As 0.5000 0.5000 0.0000
W 0.5000 0.5000 0.5000
Se 0.0000 0.5000 0.5000
Se 0.5000 0.0000 0.5000

Summary:
Theoretical density = 5.9 g/cm³
SG = P4/mmm, No. 123
Crystal system = tetragonal



Which structure is most stable? #two, by 192 meV per atom over the runner-up.



#one
A relaxed BeZnAsSe2 crystal. Source: Alexandria via LeMat-Bulk, functional PBE.

Cell: 4.8278 4.8278 4.2103 Å, 90.00 90.00 90.00°
Sites, in units of the cell vectors:
Be 0.0000 0.0000 0.0000
Zn 0.5000 0.5000 0.5000
As 0.0000 0.0000 0.5000
Se 0.0000 0.5000 0.0000
Se 0.5000 0.0000 0.0000

Summary:
Theoretical density = 5.2 g/cm³
SG = P4/mmm, No. 123
Crystal system = tetragonal



#two
A relaxed BeZnAsSe2 crystal. Source: Alexandria via LeMat-Bulk, functional PBE.

Cell: 4.9497 4.9497 4.7040 Å, 90.00 90.00 90.00°
Sites, in units of the cell vectors:
Be 0.0000 0.0000 0.0000
Zn 0.5000 0.5000 0.5000
As 0.5000 0.5000 0.0000
Se 0.0000 0.5000 0.5000
Se 0.5000 0.0000 0.5000

Summary:
Theoretical density = 4.4 g/cm³
SG = P4/mmm, No. 123
Crystal system = tetragonal



Which structure is most stable? #one, by 562 meV per atom over the runner-up.



#one
A relaxed BeZnAs2Se crystal. Source: Alexandria via LeMat-Bulk, functional PBE.

Cell: 4.3900 4.3900 4.9692 Å, 90.00 90.00 90.00°
Sites, in units of the cell vectors:
Be 0.0000 0.0000 0.0000
Zn 0.5000 0.5000 0.5000
As 0.0000 0.5000 0.0000
As 0.5000 0.0000 0.0000
Se 0.0000 0.0000 0.5000

Summary:
Theoretical density = 5.3 g/cm³
SG = P4/mmm, No. 123
Crystal system = tetragonal



#two
A relaxed BeZnAs2Se crystal. Source: Alexandria via LeMat-Bulk, functional PBE.

Cell: 4.7579 4.7579 4.9971 Å, 90.00 90.00 90.00°
Sites, in units of the cell vectors:
Be 0.0000 0.0000 0.0000
Zn 0.5000 0.5000 0.5000
As 0.0000 0.5000 0.5000
As 0.5000 0.0000 0.5000
Se 0.5000 0.5000 0.0000

Summary:
Theoretical density = 4.5 g/cm³
SG = P4/mmm, No. 123
Crystal system = tetragonal



Which structure is most stable? #one, by 577 meV per atom over the runner-up.



#one
A relaxed ZrBeAsSe2 crystal. Source: Alexandria via LeMat-Bulk, functional PBE.

Cell: 5.1598 5.1598 5.3020 Å, 90.00 90.00 90.00°
Sites, in units of the cell vectors:
Zr 0.0000 0.0000 0.0000
Be 0.5000 0.5000 0.5000
As 0.0000 0.0000 0.5000
Se 0.0000 0.5000 0.0000
Se 0.5000 0.0000 0.0000

Summary:
Theoretical density = 3.9 g/cm³
SG = P4/mmm, No. 123
Crystal system = tetragonal



#two
A relaxed ZrBeAsSe2 crystal. Source: Alexandria via LeMat-Bulk, functional PBE.

Cell: 4.6451 4.6451 4.4092 Å, 90.00 90.00 90.00°
Sites, in units of the cell vectors:
Zr 0.0000 0.0000 0.0000
Be 0.5000 0.5000 0.5000
As 0.5000 0.5000 0.0000
Se 0.0000 0.5000 0.5000
Se 0.5000 0.0000 0.5000

Summary:
Theoretical density = 5.8 g/cm³
SG = P4/mmm, No. 123
Crystal system = tetragonal



Which structure is most stable? #two, by 353 meV per atom over the runner-up.



#one
A relaxed ZrBeAs2Se crystal. Source: Alexandria via LeMat-Bulk, functional PBE.

Cell: 5.2218 5.2218 5.1363 Å, 90.00 90.00 90.00°
Sites, in units of the cell vectors:
Zr 0.0000 0.0000 0.0000
Be 0.5000 0.5000 0.5000
As 0.0000 0.5000 0.0000
As 0.5000 0.0000 0.0000
Se 0.0000 0.0000 0.5000

Summary:
Theoretical density = 3.9 g/cm³
SG = P4/mmm, No. 123
Crystal system = tetragonal



#two
A relaxed ZrBeAs2Se crystal. Source: Alexandria via LeMat-Bulk, functional PBE.

Cell: 4.2835 4.2835 5.1927 Å, 90.00 90.00 90.00°
Sites, in units of the cell vectors:
Zr 0.0000 0.0000 0.0000
Be 0.5000 0.5000 0.5000
As 0.0000 0.5000 0.5000
As 0.5000 0.0000 0.5000
Se 0.5000 0.5000 0.0000

Summary:
Theoretical density = 5.7 g/cm³
SG = P4/mmm, No. 123
Crystal system = tetragonal



Which structure is most stable? #two, by 475 meV per atom over the runner-up.